Entry from Alexandria: crystalline BaNa2CoO4 at its relaxed geometry (GGA+U).

Structure (POSCAR):
```
BaNa2CoO4
1.0
5.883 0.000 0.000
0.000 5.883 0.000
0.000 0.000 7.095
Ba Na Co O
2 4 2 8
Direct
0.000 0.000 0.000
0.500 0.500 0.500
0.000 0.500 0.250
0.000 0.500 0.750
0.500 0.000 0.250
0.500 0.000 0.750
0.000 0.000 0.500
0.500 0.500 0.000
0.181 0.181 0.357
0.181 0.819 0.643
0.319 0.319 0.857
0.319 0.681 0.143
0.681 0.319 0.143
0.681 0.681 0.857
0.819 0.181 0.643
0.819 0.819 0.357
```

Results
* total energy: -5.261 eV per atom
* SG: I-42m, No. 121
* crystal system: tetragonal